This record from Alexandria via LeMat-Bulk describes ZnAsIr2 after structural relaxation. The functional is PBE-GGA.

a = 2.8912 Å, b = 2.8912 Å, c = 7.9228 Å
α = 90.00°, β = 90.00°, γ = 90.00°
Last column: nearest neighbours and their distance in Å.
Atoms (fractional coordinates):
Zn: 0.0000 0.0000 0.0000  4 Ir 2.60, 4 Zn 2.89
As: 0.5000 0.5000 0.3541  4 Ir 2.58
Ir: 0.0000 0.0000 0.5520  4 As 2.58, 4 Ir 2.83
Ir: 0.5000 0.5000 0.7982  4 Zn 2.60, 8 Ir 2.83-2.89

Results
Energy above the most stable polymorph in this dataset: 0.069 eV/atom
E: -5.86 eV/atom
Volume: 16.56 Å³ per atom
Crystal system: tetragonal
Energy of formation: 21.5 kJ/mol of formula units

***

This record from Alexandria via LeMat-Bulk describes BaCuRuO5 after structural relaxation. The functional is PBE-GGA.

a = 5.8914 Å, b = 5.8914 Å, c = 7.3937 Å
α = 102.36°, β = 102.36°, γ = 108.49°
Last column: nearest neighbours and their distance in Å.
Atoms (fractional coordinates):
Ba: 0.1635 0.8365 0.7500  7 O 2.63-2.78
Ba: 0.8365 0.1635 0.2500  7 O 2.63-2.78
Cu: 0.1912 0.8088 0.2500  4 O 1.90-1.97
Cu: 0.8088 0.1912 0.7500  4 O 1.90-1.97
Ru: 0.5000 0.5000 0.0000  6 O 1.92-1.94
Ru: 0.5000 0.5000 0.5000  6 O 1.92-1.94
O: 0.1492 0.2759 0.9218  1 Ru 1.94, 1 Cu 1.97
O: 0.2230 0.5958 0.4065  1 Cu 1.90, 1 Ru 1.93
O: 0.2759 0.1492 0.4218  1 Ru 1.94, 1 Cu 1.97
O: 0.4042 0.7770 0.0935  1 Cu 1.90, 1 Ru 1.93
O: 0.4452 0.5548 0.7500  2 Ru 1.92
O: 0.5548 0.4452 0.2500  2 Ru 1.92
O: 0.5958 0.2230 0.9065  1 Cu 1.90, 1 Ru 1.93
O: 0.7241 0.8508 0.5782  1 Ru 1.94, 1 Cu 1.97
O: 0.7770 0.4042 0.5935  1 Cu 1.90, 1 Ru 1.93
O: 0.8508 0.7241 0.0782  1 Ru 1.94, 1 Cu 1.97

Results
E: -6.29 eV/atom
Volume: 14.15 Å³ per atom
Crystal system: monoclinic
Formation energy (no corrections): -1.278 eV/atom

***

This record from Alexandria via LeMat-Bulk describes RbLa3Tl after structural relaxation. The functional is PBE-GGA.

a = 6.2620 Å, b = 6.2620 Å, c = 6.2620 Å
α = 90.00°, β = 90.00°, γ = 90.00°
Last column: nearest neighbours and their distance in Å.
Atoms (fractional coordinates):
Rb: 0.0000 0.0000 0.0000  12 La 4.43
La: 0.0000 0.5000 0.5000  2 Tl 3.13
La: 0.5000 0.0000 0.5000  2 Tl 3.13
La: 0.5000 0.5000 0.0000  2 Tl 3.13
Tl: 0.5000 0.5000 0.5000  6 La 3.13

Results
Energy above the most stable polymorph in this dataset: 0.000 eV/atom
E: -3.29 eV/atom
Volume: 49.11 Å³ per atom
Crystal system: cubic
Energy of formation: 162.6 kJ/mol of formula units

***

This record from Alexandria via LeMat-Bulk describes EuHo2Tm after structural relaxation. The functional is PBE-GGA.

a = 5.0496 Å, b = 5.0496 Å, c = 5.0572 Å
α = 90.00°, β = 90.00°, γ = 90.00°
Last column: nearest neighbours and their distance in Å.
Atoms (fractional coordinates):
Eu: 0.0000 0.0000 0.0000  4 Tm 3.57, 8 Ho 3.57
Ho: 0.0000 0.5000 0.5000  4 Ho 3.57, 4 Tm 3.57, 4 Eu 3.57
Ho: 0.5000 0.0000 0.5000  4 Ho 3.57, 4 Tm 3.57, 4 Eu 3.57
Tm: 0.5000 0.5000 0.0000  4 Eu 3.57, 8 Ho 3.57

Results
Energy above the most stable polymorph in this dataset: 0.038 eV/atom
E: -5.87 eV/atom
Volume: 32.24 Å³ per atom
Crystal system: tetragonal
Energy of formation: 39.0 kJ/mol of formula units

***

This record from Alexandria via LeMat-Bulk describes NpUMnCo after structural relaxation. The functional is PBE-GGA.

a = 6.2454 Å, b = 6.2454 Å, c = 6.2454 Å
α = 90.00°, β = 90.00°, γ = 90.00°
Last column: nearest neighbours and their distance in Å.
Atoms (fractional coordinates):
Np: 0.0000 0.0000 0.0000  4 U 2.70, 4 Co 2.70
Np: 0.0000 0.5000 0.5000  4 U 2.70, 4 Co 2.70
Np: 0.5000 0.0000 0.5000  4 U 2.70, 4 Co 2.70
Np: 0.5000 0.5000 0.0000  4 U 2.70, 4 Co 2.70
U: 0.2500 0.2500 0.2500  4 Mn 2.70, 4 Np 2.70
U: 0.2500 0.7500 0.7500  4 Mn 2.70, 4 Np 2.70
U: 0.7500 0.2500 0.7500  4 Mn 2.70, 4 Np 2.70
U: 0.7500 0.7500 0.2500  4 Mn 2.70, 4 Np 2.70
Mn: 0.0000 0.0000 0.5000  4 Co 2.70, 4 U 2.70
Mn: 0.0000 0.5000 0.0000  4 Co 2.70, 4 U 2.70
Mn: 0.5000 0.0000 0.0000  4 Co 2.70, 4 U 2.70
Mn: 0.5000 0.5000 0.5000  4 Co 2.70, 4 U 2.70
Co: 0.2500 0.2500 0.7500  4 Mn 2.70, 4 Np 2.70
Co: 0.2500 0.7500 0.2500  4 Mn 2.70, 4 Np 2.70
Co: 0.7500 0.2500 0.2500  4 Mn 2.70, 4 Np 2.70
Co: 0.7500 0.7500 0.7500  4 Mn 2.70, 4 Np 2.70

Results
E: -10.25 eV/atom
Volume: 15.23 Å³ per atom
Crystal system: cubic
Energy of formation: -46.1 kJ/mol of formula units

***

This record from Alexandria via LeMat-Bulk describes KH2IBr8 after structural relaxation. The functional is PBE-GGA.

a = 7.2059 Å, b = 8.2178 Å, c = 9.1911 Å
α = 108.09°, β = 92.40°, γ = 109.90°
Last column: nearest neighbours and their distance in Å.
Atoms (fractional coordinates):
K: 0.0000 0.0000 0.0000  6 Br 3.37-3.60
H: 0.4214 0.5799 0.7884  1 Br 1.45
H: 0.5786 0.4201 0.2116  1 Br 1.45
I: 0.0000 0.0000 0.5000  4 Br 2.70
Br: 0.1068 0.8030 0.2466  1 I 2.70
Br: 0.2116 0.8972 0.6800  1 I 2.70
Br: 0.3714 0.3714 0.5141  1 Br 2.38, 1 H 2.50
Br: 0.4773 0.7206 0.9417  1 H 1.45
Br: 0.5227 0.2794 0.0583  1 H 1.45
Br: 0.6286 0.6286 0.4859  1 Br 2.38, 1 H 2.50
Br: 0.7884 0.1028 0.3200  1 I 2.70
Br: 0.8932 0.1970 0.7534  1 I 2.70

Results
E: -2.26 eV/atom
Volume: 39.99 Å³ per atom
Crystal system: triclinic